[1]
Below is a relaxed TmHgAu crystal, with properties calculated at the PBE-GGA level.

a b c (Å): 4.799 4.799 3.351
angles (deg): 90.00 90.00 120.00
Atoms (fractional coordinates):
Tm1 0.000 0.000 0.000
Hg1 0.333 0.667 0.500
Au1 0.667 0.333 0.500

Formation enthalpy at 0 K   -1.67 eV per formula unit

=====

[2]
Below is a relaxed AgH2Ru crystal, with properties calculated at the PBE-GGA level.

a b c (Å): 4.669 4.669 4.669
angles (deg): 113.06 113.06 102.51
Atoms (fractional coordinates):
Ag1 0.000 0.000 0.000
Ag2 0.750 0.250 0.500
H1 0.196 0.625 0.071
H2 0.375 0.446 0.571
H3 0.554 0.125 0.929
H4 0.875 0.804 0.429
Ru1 0.250 0.750 0.500
Ru2 0.500 0.500 0.000

Energy relative to the lowest polymorph listed for this composition   0.1207 eV per atom

=====

[3]
Below is a relaxed Ni2MoRh crystal, with properties calculated at the PBE-GGA level.

a b c (Å): 4.180 4.180 4.180
angles (deg): 60.00 60.00 60.00
Atoms (fractional coordinates):
Ni1 0.250 0.250 0.250
Ni2 0.750 0.750 0.750
Mo1 0.000 0.000 0.000
Rh1 0.500 0.500 0.500

Formation enthalpy at 0 K   0.21 eV per formula unit
Energy relative to the lowest polymorph listed for this composition   0.1828 eV per atom

=====

VASP energy, respectively: -3.240, -4.396, -7.383 eV/atom.